Density functional theory data (PBE) for Th2Be4Ir3Pt after structural relaxation.

```
Th2Be4Ir3Pt
1.0
-3.178 1.528 -1.980
1.125 -1.985 -3.338
-5.340 -7.589 2.713
Be Pt Ir Th
4 1 3 2
Cartesian
-1.463 -3.871 -0.640
-4.903 -3.947 0.694
0.000 0.000 0.000
-1.026 -0.229 -2.659
-3.696 -4.023 -1.302
-2.670 -3.795 1.357
-0.121 -1.965 -1.321
-6.244 -5.853 1.376
-3.446 -6.690 0.368
-2.920 -1.128 -0.313
```

* electronic total energy: -6.9898 eV/atom
* calculated formation energy: -753 meV/atom
* spin magnetization: 0.00 μB/f.u.
* SG: P-4m2 (115)
* N(E_F): 4.8 states/eV/f.u.